Density functional theory data (PBE) for BeSiPt2 after structural relaxation.

The structure in POSCAR format:
```
BeSiPt2
1.0
-1.7056 1.7428 4.5905
1.7056 -1.7428 4.5905
1.7056 1.7428 -4.5905
Be Si Pt
1 1 2
direct
0.0000 0.0000 0.0000
0.7508 0.2508 0.5000
0.1802 0.6802 0.5000
0.4368 0.4368 0.0000
```

Calculated values
* final energy: -5.85 eV per atom
* symmetry: Imm2, No. 44
* uncorrected formation energy: -0.538 eV per atom

Density functional theory data (PBE) for CeAlCd11 after structural relaxation.

The structure in POSCAR format:
```
CeAlCd11
1.0
2.9440 -7.0999 0.0000
2.9440 7.0999 0.0000
-2.8949 0.0000 7.0064
Ce Al Cd
1 1 11
direct
0.0000 0.0000 0.0000
0.5000 0.5000 0.5000
0.0000 0.0000 0.5000
0.0000 0.5000 0.0000
0.0076 0.3557 0.3546
0.2916 0.5027 0.7852
0.3557 0.0076 0.3546
0.4973 0.7084 0.2148
0.5000 0.0000 0.0000
0.5027 0.2916 0.7852
0.6443 0.9924 0.6454
0.7084 0.4973 0.2148
0.9924 0.6443 0.6454
```

Calculated values
* final energy: -1.59 eV per atom
* symmetry: C2/m, No. 12

Density functional theory data (PBE) for CaPr3Rh3 after structural relaxation.

The structure in POSCAR format:
```
CaPr3Rh3
1.0
4.7132 -5.3448 0.0000
4.7132 5.3448 0.0000
-0.0067 0.0000 7.1600
Ca Pr Rh
2 6 6
direct
0.2465 0.2465 0.3757
0.7535 0.7535 0.6243
0.1720 0.1720 0.8709
0.2583 0.7417 0.5000
0.3188 0.6812 0.0000
0.6812 0.3188 0.0000
0.7417 0.2583 0.5000
0.8280 0.8280 0.1291
0.0078 0.4921 0.7647
0.4422 0.4422 0.7025
0.4921 0.0078 0.7647
0.5079 0.9922 0.2353
0.5578 0.5578 0.2975
0.9922 0.5079 0.2353
```

Calculated values
* final energy: -5.96 eV per atom
* symmetry: C2/m, No. 12

Density functional theory data (PBE) for TlPtC3 after structural relaxation.

The structure in POSCAR format:
```
TlPtC3
1.0
4.3253 0.0000 0.0000
0.0000 4.3253 0.0000
0.0000 0.0000 4.3253
Tl Pt C
1 1 3
direct
0.0000 0.0000 0.0000
0.5000 0.5000 0.5000
0.0000 0.0000 0.5000
0.0000 0.5000 0.0000
0.5000 0.0000 0.0000
```

Calculated values
* final energy: -3.49 eV per atom
* symmetry: Pm-3m, No. 221
* energy above the most stable polymorph in this dataset: 1.3434 eV per atom

Number 1: DOS(E_F) 0.13 states/eV/atom, spin magnetization 0.00 μB per cell, calculated volume 13.65 A^3/atom. Number 2: DOS(E_F) 0.85 states/eV/atom, spin magnetization 1.25 μB per cell, calculated volume 22.53 A^3/atom. Number 3: DOS(E_F) 0.70 states/eV/atom, spin magnetization 0.00 μB per cell, calculated volume 25.77 A^3/atom. Number 4: DOS(E_F) 0.93 states/eV/atom, spin magnetization 0.00 μB per cell, calculated volume 16.18 A^3/atom.